## As2RuS2 (PBE-GGA)

Data for an optimized crystal structure of As2RuS2.

abc: 8.950 8.950 8.950
angles: 157.81 157.81 31.59
Fractional coordinates of all 5 atoms:
As (0.250, 0.750, 0.500)
As (0.750, 0.250, 0.500)
Ru (0.000, 0.000, 0.000)
S (0.438, 0.438, 0.000)
S (0.562, 0.562, 0.000)

Results
Energy, eV per atom: -4.769
Polymorph energy (0 for the lowest one), eV/atom: 0.300
Symmetry: No. 139
N(E_F), states/eV/f.u.: 4.95
Magnetization, μB/atom: 0.000
Formation energy from raw total energies, eV/atom: 0.5966